(1)
Entry from the Alexandria database: crystalline Sr3PuAl2O9 at its relaxed geometry (GGA-PBE). Values from VASP.

Geometry as Quantum ESPRESSO input:
```
&SYSTEM
  ibrav = 0, nat = 15, ntyp = 4
/
ATOMIC_SPECIES
O 16.00 O.upf
Sr 87.62 Sr.upf
Al 26.98 Al.upf
Pu 244.00 Pu.upf
ATOMIC_POSITIONS crystal
O 0.828 0.172 0.676
O 0.828 0.655 0.676
O 0.655 0.828 0.324
O 0.500 0.000 0.000
O 0.345 0.172 0.676
O 0.172 0.345 0.324
O 0.000 0.500 0.000
O 0.172 0.828 0.324
O 0.500 0.500 0.000
Sr 0.667 0.333 0.303
Sr 0.000 0.000 0.000
Sr 0.333 0.667 0.697
Al 0.333 0.667 0.143
Al 0.667 0.333 0.857
Pu 0.000 0.000 0.500
CELL_PARAMETERS angstrom
5.574 0.000 0.000
-2.787 4.827 0.000
0.000 0.000 6.949
```


(2)
Entry from the Alexandria database: crystalline SrPuAlO5 at its relaxed geometry (GGA-PBE). Values from VASP.

Geometry as Quantum ESPRESSO input:
```
&SYSTEM
  ibrav = 0, nat = 16, ntyp = 4
/
ATOMIC_SPECIES
O 16.00 O.upf
Pu 244.00 Pu.upf
Sr 87.62 Sr.upf
Al 26.98 Al.upf
ATOMIC_POSITIONS crystal
O 0.251 0.379 0.596
O 0.310 0.893 0.617
O 0.079 0.921 0.250
O 0.749 0.621 0.404
O 0.107 0.690 0.883
O 0.379 0.251 0.096
O 0.621 0.749 0.904
O 0.921 0.079 0.750
O 0.690 0.107 0.383
O 0.893 0.310 0.117
Pu 0.000 0.000 0.500
Pu 0.000 0.000 0.000
Sr 0.664 0.336 0.750
Sr 0.336 0.664 0.250
Al 0.685 0.315 0.250
Al 0.315 0.685 0.750
CELL_PARAMETERS angstrom
5.942 0.019 -0.050
-1.717 5.688 -0.050
-1.816 -2.454 7.168
```


(3)
Entry from the Alexandria database: crystalline Sr3PuAl2O8 at its relaxed geometry (GGA-PBE). Values from VASP.

Geometry as Quantum ESPRESSO input:
```
&SYSTEM
  ibrav = 0, nat = 14, ntyp = 4
/
ATOMIC_SPECIES
Sr 87.62 Sr.upf
O 16.00 O.upf
Pu 244.00 Pu.upf
Al 26.98 Al.upf
ATOMIC_POSITIONS crystal
Sr 0.000 0.000 0.000
Sr 0.667 0.333 0.337
Sr 0.333 0.667 0.663
O 0.345 0.173 0.686
O 0.173 0.827 0.314
O 0.173 0.345 0.314
O 0.667 0.333 0.029
O 0.333 0.667 0.971
O 0.655 0.827 0.314
O 0.827 0.173 0.686
O 0.827 0.655 0.686
Pu 0.000 0.000 0.500
Al 0.667 0.333 0.793
Al 0.333 0.667 0.207
CELL_PARAMETERS angstrom
-5.194 -1.494 2.136
4.022 -4.080 -0.980
2.525 0.868 6.746
```


(4)
Entry from the Alexandria database: crystalline SrPuAlO6 at its relaxed geometry (GGA-PBE). Values from VASP.

Geometry as Quantum ESPRESSO input:
```
&SYSTEM
  ibrav = 0, nat = 18, ntyp = 4
/
ATOMIC_SPECIES
Al 26.98 Al.upf
O 16.00 O.upf
Sr 87.62 Sr.upf
Pu 244.00 Pu.upf
ATOMIC_POSITIONS crystal
Al 0.667 0.333 0.250
Al 0.333 0.667 0.750
O 0.365 0.376 0.849
O 0.635 0.624 0.151
O 0.988 0.365 0.151
O 0.012 0.635 0.849
O 0.376 0.012 0.151
O 0.012 0.376 0.651
O 0.365 0.988 0.651
O 0.624 0.635 0.651
O 0.988 0.624 0.349
O 0.376 0.365 0.349
O 0.635 0.012 0.349
O 0.624 0.988 0.849
Sr 0.000 0.000 0.500
Sr 0.000 0.000 0.000
Pu 0.667 0.333 0.750
Pu 0.333 0.667 0.250
CELL_PARAMETERS angstrom
-0.883 4.325 -2.813
-3.827 -2.045 2.927
3.181 6.147 8.455
```


(5)
Entry from the Alexandria database: crystalline PuTaAlO6 at its relaxed geometry (GGA-PBE). Values from VASP.

Geometry as Quantum ESPRESSO input:
```
&SYSTEM
  ibrav = 0, nat = 18, ntyp = 4
/
ATOMIC_SPECIES
O 16.00 O.upf
Pu 244.00 Pu.upf
Al 26.98 Al.upf
Ta 180.95 Ta.upf
ATOMIC_POSITIONS crystal
O 0.011 0.649 0.861
O 0.989 0.638 0.361
O 0.362 0.351 0.361
O 0.649 0.011 0.361
O 0.638 0.989 0.861
O 0.351 0.362 0.861
O 0.649 0.638 0.139
O 0.011 0.362 0.639
O 0.351 0.989 0.639
O 0.638 0.649 0.639
O 0.362 0.011 0.139
O 0.989 0.351 0.139
Pu 0.000 0.000 0.000
Pu 0.000 0.000 0.500
Al 0.333 0.667 0.750
Al 0.667 0.333 0.250
Ta 0.333 0.667 0.250
Ta 0.667 0.333 0.750
CELL_PARAMETERS angstrom
-1.508 3.601 3.296
-1.204 -4.895 0.836
8.197 -1.160 5.016
```


(6)
Entry from the Alexandria database: crystalline Pu2TaAl3O12 at its relaxed geometry (GGA-PBE). Values from VASP.

Geometry as Quantum ESPRESSO input:
```
&SYSTEM
  ibrav = 0, nat = 18, ntyp = 4
/
ATOMIC_SPECIES
O 16.00 O.upf
Ta 180.95 Ta.upf
Al 26.98 Al.upf
Pu 244.00 Pu.upf
ATOMIC_POSITIONS crystal
O 0.051 0.685 0.685
O 0.922 0.339 0.922
O 0.661 0.078 0.078
O 0.315 0.949 0.315
O 0.078 0.078 0.661
O 0.078 0.661 0.078
O 0.685 0.051 0.685
O 0.685 0.685 0.051
O 0.339 0.922 0.922
O 0.315 0.315 0.949
O 0.922 0.922 0.339
O 0.949 0.315 0.315
Ta 0.000 0.000 0.000
Al 0.500 0.000 0.000
Al 0.000 0.000 0.500
Al 0.000 0.500 0.000
Pu 0.276 0.276 0.276
Pu 0.724 0.724 0.724
CELL_PARAMETERS angstrom
-3.136 -6.538 -0.988
2.976 -6.269 2.322
-2.788 -3.980 5.471
```


(7)
Entry from the Alexandria database: crystalline PuTiAlO6 at its relaxed geometry (GGA-PBE). Values from VASP.

Geometry as Quantum ESPRESSO input:
```
&SYSTEM
  ibrav = 0, nat = 18, ntyp = 4
/
ATOMIC_SPECIES
O 16.00 O.upf
Al 26.98 Al.upf
Ti 47.87 Ti.upf
Pu 244.00 Pu.upf
ATOMIC_POSITIONS crystal
O 0.689 0.022 0.375
O 0.667 0.978 0.875
O 0.311 0.978 0.625
O 0.311 0.333 0.875
O 0.022 0.333 0.625
O 0.022 0.689 0.875
O 0.333 0.311 0.375
O 0.978 0.667 0.375
O 0.689 0.667 0.125
O 0.333 0.022 0.125
O 0.667 0.689 0.625
O 0.978 0.311 0.125
Al 0.000 0.000 0.000
Al 0.000 0.000 0.500
Ti 0.333 0.667 0.750
Ti 0.667 0.333 0.250
Pu 0.667 0.333 0.750
Pu 0.333 0.667 0.250
CELL_PARAMETERS angstrom
5.204 0.000 0.000
-2.602 4.507 0.000
0.000 0.000 8.595
```


(8)
Entry from the Alexandria database: crystalline Pu3TiAl2O9 at its relaxed geometry (GGA-PBE). Values from VASP.

Geometry as Quantum ESPRESSO input:
```
&SYSTEM
  ibrav = 0, nat = 15, ntyp = 4
/
ATOMIC_SPECIES
Pu 244.00 Pu.upf
O 16.00 O.upf
Ti 47.87 Ti.upf
Al 26.98 Al.upf
ATOMIC_POSITIONS crystal
Pu 0.000 0.000 0.000
Pu 0.333 0.667 0.671
Pu 0.667 0.333 0.329
O 0.830 0.660 0.672
O 0.500 0.500 0.000
O 0.500 0.000 0.000
O 0.170 0.830 0.328
O 0.000 0.500 0.000
O 0.660 0.830 0.328
O 0.340 0.170 0.672
O 0.170 0.340 0.328
O 0.830 0.170 0.672
Ti 0.000 0.000 0.500
Al 0.667 0.333 0.840
Al 0.333 0.667 0.160
CELL_PARAMETERS angstrom
-0.809 -4.168 3.333
-1.302 -0.427 -5.221
6.090 -2.249 -1.335
```


Number 1: VASP energy -114.74 eV for the cell shown, raw formation energy -2884 meV per atom. Number 2: VASP energy -136.01 eV for the cell shown, raw formation energy -2932 meV per atom. Number 3: VASP energy -106.93 eV for the cell shown, raw formation energy -2886 meV per atom. Number 4: VASP energy -146.94 eV for the cell shown, raw formation energy -2663 meV per atom. Number 5: VASP energy -171.77 eV for the cell shown, raw formation energy -2912 meV per atom. Number 6: VASP energy -156.09 eV for the cell shown, raw formation energy -2491 meV per atom. Number 7: VASP energy -159.75 eV for the cell shown, raw formation energy -2684 meV per atom. Number 8: VASP energy -146.89 eV for the cell shown, raw formation energy -2926 meV per atom.